Entry 1:
Compound: NaHN2O
Source: Alexandria via LeMat-Bulk
Functional: PBE
Structure: optimized geometry

```
NaHN2O
1.0
-0.218 -1.905 2.376
-1.487 -2.012 -1.750
4.342 -2.095 -1.281
N H Na O
2 1 1 1
Direct
0.500 0.000 0.000
0.000 0.500 0.000
0.000 0.000 0.000
0.500 0.500 0.500
0.000 0.000 0.500
```

Properties
Space-group type: P4/mmm
VASP energy in eV per atom: -3.757
Crystal system: tetragonal

Entry 2:
Compound: Sr2MgCdP
Source: Alexandria via LeMat-Bulk
Functional: PBE
Structure: optimized geometry

```
Sr2MgCdP
1.0
5.904 0.000 0.000
0.000 5.904 0.000
0.000 0.000 4.902
P Sr Mg Cd
1 2 1 1
Direct
0.000 0.000 0.000
0.500 0.000 0.000
0.000 0.500 0.000
0.000 0.000 0.500
0.500 0.500 0.500
```

Properties
Space-group type: P4/mmm
VASP energy in eV per atom: -2.696
ΔE_f in eV per atom: -0.440
Crystal system: tetragonal